A plane-wave DFT calculation with GGA-PBE was carried out for a relaxed structure of YZnAgRh.

abc: 6.6681 6.6681 6.6681
angles: 90.00 90.00 90.00
Space group F-43m (No. 216)
Unique sites:
Y (0.0000, 0.0000, 0.0000)
Zn (0.0000, 0.0000, 0.5000)
Ag (0.2500, 0.2500, 0.2500)
Rh (0.2500, 0.2500, 0.7500)

Results
mass density	8.2	g/cm³
crystal system	cubic
formation enthalpy at 0 K	-0.378	eV per atom

A plane-wave DFT calculation with GGA-PBE was carried out for a relaxed structure of Zn2TcAg.

abc: 6.2187 6.2187 6.2187
angles: 90.00 90.00 90.00
Space group Fm-3m (No. 225)
Unique sites:
Zn (0.2500, 0.2500, 0.2500)
Tc (0.0000, 0.0000, 0.0000)
Ag (0.0000, 0.0000, 0.5000)

Results
mass density	9.3	g/cm³
polymorph energy (0 for the lowest one)	16.0	kJ per mole of atoms
crystal system	cubic
formation enthalpy at 0 K	0.231	eV per atom

A plane-wave DFT calculation with GGA-PBE was carried out for a relaxed structure of Ho3Al12Ru4.

abc: 8.7765 8.7765 9.5902
angles: 90.00 90.00 120.00
Space group P6_3/mmc (No. 194)
Unique sites:
Ho (0.1939, 0.3878, 0.2500)
Al (0.0000, 0.0000, 0.2500)
Al (0.1233, 0.5617, 0.7500)
Al (0.1627, 0.3255, 0.5772)
Al (0.3333, 0.6667, 0.0173)
Ru (0.0000, 0.0000, 0.0000)
Ru (0.0000, 0.5000, 0.0000)

Results
mass density	6.3	g/cm³
crystal system	hexagonal
formation enthalpy at 0 K	-0.666	eV per atom

A plane-wave DFT calculation with GGA-PBE was carried out for a relaxed structure of Pb3Se.

abc: 4.6479 4.6479 10.9037
angles: 90.00 90.00 90.00
Space group I4/mmm (No. 139)
Unique sites:
Pb (0.0000, 0.0000, 0.0000)
Pb (0.0000, 0.5000, 0.2500)
Se (0.0000, 0.0000, 0.5000)

Results
mass density	9.9	g/cm³
crystal system	tetragonal
raw formation energy	-0.043	eV per atom

A plane-wave DFT calculation with GGA-PBE was carried out for a relaxed structure of K2Ru.

abc: 17.7134 7.9522 4.1012
angles: 90.00 90.00 90.00
Space group Cmcm (No. 63)
Unique sites:
K (0.1304, 0.2446, 0.2500)
Ru (0.0000, 0.0684, 0.7500)

Results
mass density	2.1	g/cm³
polymorph energy (0 for the lowest one)	5.8	kJ per mole of atoms
crystal system	orthorhombic
formation enthalpy at 0 K	0.671	eV per atom

A plane-wave DFT calculation with GGA-PBE was carried out for a relaxed structure of Na2ScRu.

abc: 6.8409 6.8409 6.8409
angles: 90.00 90.00 90.00
Space group Fm-3m (No. 225)
Unique sites:
Na (0.2500, 0.2500, 0.2500)
Sc (0.0000, 0.0000, 0.0000)
Ru (0.0000, 0.0000, 0.5000)

Results
mass density	4.0	g/cm³
polymorph energy (0 for the lowest one)	38.7	kJ per mole of atoms
crystal system	cubic
formation enthalpy at 0 K	0.800	eV per atom

A plane-wave DFT calculation with GGA-PBE was carried out for a relaxed structure of TbSc2Sn.

abc: 4.1558 11.7964 8.7311
angles: 90.00 90.00 90.00
Space group Cmcm (No. 63)
Unique sites:
Tb (0.0000, 0.0527, 0.2500)
Sc (0.0000, 0.3655, 0.0532)
Sn (0.0000, 0.2399, 0.7500)

Results
mass density	5.7	g/cm³
polymorph energy (0 for the lowest one)	7.8	kJ per mole of atoms
crystal system	orthorhombic
formation enthalpy at 0 K	-0.382	eV per atom

A plane-wave DFT calculation with GGA-PBE was carried out for a relaxed structure of AsRu.

abc: 3.1198 4.7650 4.6588
angles: 90.00 109.08 90.00
Space group P2_1/m (No. 11)
Unique sites:
As (0.0936, 0.2500, 0.1781)
Ru (0.2035, 0.7500, 0.4055)

Results
mass density	8.9	g/cm³
crystal system	monoclinic
formation enthalpy at 0 K	-0.158	eV per atom

A plane-wave DFT calculation with GGA-PBE was carried out for a relaxed structure of Na2Ag2F.

abc: 5.8971 5.8971 5.7842
angles: 90.00 90.00 90.00
Space group P4/mbm (No. 127)
Unique sites:
Na (0.1858, 0.3142, 0.0000)
Ag (0.1692, 0.6692, 0.5000)
F (0.0000, 0.0000, 0.0000)

Results
mass density	4.6	g/cm³
crystal system	tetragonal
raw formation energy	-0.787	eV per atom

A plane-wave DFT calculation with GGA-PBE was carried out for a relaxed structure of Li2LaTc.

abc: 3.1041 5.1919 5.0469
angles: 90.00 102.63 90.00
Space group P2/m (No. 10)
Unique sites:
Li (0.1958, 0.0000, 0.3010)
La (0.5000, 0.5000, 0.0000)
Tc (0.0000, 0.5000, 0.5000)

Results
mass density	5.2	g/cm³
polymorph energy (0 for the lowest one)	3.6	kJ per mole of atoms
crystal system	monoclinic
formation enthalpy at 0 K	0.270	eV per atom

A plane-wave DFT calculation with GGA-PBE was carried out for a relaxed structure of Al2Sb2I.

abc: 4.1376 4.1376 16.7000
angles: 90.00 90.00 90.00
Space group I4/mmm (No. 139)
Unique sites:
Al (0.0000, 0.5000, 0.2500)
Sb (0.0000, 0.0000, 0.1354)
I (0.0000, 0.0000, 0.5000)

Results
mass density	4.9	g/cm³
polymorph energy (0 for the lowest one)	0.0	kJ per mole of atoms
crystal system	tetragonal
raw formation energy	-0.016	eV per atom

A plane-wave DFT calculation with GGA-PBE was carried out for a relaxed structure of VCdHPd2.

abc: 4.1201 4.1201 4.0191
angles: 90.00 90.00 90.00
Space group P4/mmm (No. 123)
Unique sites:
V (0.0000, 0.0000, 0.0000)
Cd (0.5000, 0.5000, 0.0000)
H (0.0000, 0.0000, 0.5000)
Pd (0.0000, 0.5000, 0.5000)

Results
mass density	9.2	g/cm³
polymorph energy (0 for the lowest one)	0.0	kJ per mole of atoms
crystal system	tetragonal